# 1
The following is a PBE-GGA calculation of a relaxed structure of ScFeTcAs, from the Open Quantum Materials Database.

Results
Its volume is 15.53 A^3/atom. The calculated density comes out at 7317 kg/m³. As for the total energy: -7.38 eV per atom. The calculation puts the size of the total moment at 4.16 μB per cell. The distance to the lowest polymorph of the same formula comes out at 0.2075 eV/atom.

Lattice parameters (Å, degrees): 4.4454 4.4454 4.4454 60.00 60.00 60.00
Last column: nearest neighbours and their distance in Å.
Sites, in units of the cell vectors:
Sc: 0.0000 0.0000 0.0000  4 As 2.72, 4 Tc 2.72
Fe: 0.5000 0.5000 0.5000  4 As 2.72, 4 Tc 2.72
Tc: 0.7500 0.7500 0.7500  4 Fe 2.72, 4 Sc 2.72
As: 0.2500 0.2500 0.2500  4 Fe 2.72, 4 Sc 2.72


# 2
The following is a PBE-GGA calculation of a relaxed structure of ScFeTcAs, from the Open Quantum Materials Database.

Results
Its volume is 14.20 A^3/atom. The calculated density comes out at 8003 kg/m³. As for the total energy: -7.59 eV per atom. The calculation puts the size of the total moment at 0.84 μB per cell. The distance to the lowest polymorph of the same formula comes out at 0.0000 eV/atom.

Lattice parameters (Å, degrees): 4.3145 4.3145 4.3145 60.00 60.00 60.00
Last column: nearest neighbours and their distance in Å.
Sites, in units of the cell vectors:
Sc: 0.0000 0.0000 0.0000  4 Fe 2.64, 4 Tc 2.64
Fe: 0.7500 0.7500 0.7500  4 As 2.64, 4 Sc 2.64
Tc: 0.2500 0.2500 0.2500  4 As 2.64, 4 Sc 2.64
As: 0.5000 0.5000 0.5000  4 Fe 2.64, 4 Tc 2.64


# 3
The following is a PBE-GGA calculation of a relaxed structure of ScFeAsW, from the Open Quantum Materials Database.

Results
Its volume is 14.85 A^3/atom. The calculated density comes out at 10054 kg/m³. As for the total energy: -7.75 eV per atom. The calculation puts the size of the total moment at 1.82 μB per cell. The distance to the lowest polymorph of the same formula comes out at 0.0000 eV/atom.

Lattice parameters (Å, degrees): 4.3793 4.3793 4.3793 60.00 60.00 60.00
Last column: nearest neighbours and their distance in Å.
Sites, in units of the cell vectors:
Sc: 0.0000 0.0000 0.0000  4 Fe 2.68, 4 W 2.68
Fe: 0.7500 0.7500 0.7500  4 Sc 2.68, 4 As 2.68
As: 0.5000 0.5000 0.5000  4 Fe 2.68, 4 W 2.68
W: 0.2500 0.2500 0.2500  4 As 2.68, 4 Sc 2.68


# 4
The following is a PBE-GGA calculation of a relaxed structure of ScZnFeAs, from the Open Quantum Materials Database.

Results
Its volume is 14.70 A^3/atom. The calculated density comes out at 6812 kg/m³. As for the total energy: -5.16 eV per atom. The calculation puts the size of the total moment at 0.03 μB per cell. The distance to the lowest polymorph of the same formula comes out at 0.1619 eV/atom.

Lattice parameters (Å, degrees): 4.3644 4.3644 4.3644 60.00 60.00 60.00
Last column: nearest neighbours and their distance in Å.
Sites, in units of the cell vectors:
Sc: 0.0000 0.0000 0.0000  4 Fe 2.67, 4 Zn 2.67
Zn: 0.2500 0.2500 0.2500  4 As 2.67, 4 Sc 2.67
Fe: 0.7500 0.7500 0.7500  4 As 2.67, 4 Sc 2.67
As: 0.5000 0.5000 0.5000  4 Fe 2.67, 4 Zn 2.67